(1)
## La2PaRh3 (PBE)

Data for a geometry-optimized La2PaRh3 structure.

```
La2PaRh3
1.0
-2.620 -0.040 -3.201
-1.524 -3.621 1.294
-3.784 5.990 5.694
Rh Pa La
3 1 2
Direct
0.285 0.286 0.576
0.583 0.584 0.172
0.934 0.936 0.874
0.434 0.436 0.874
0.098 0.099 0.201
0.771 0.772 0.547
```

Summary:
The total moment is 0.00 μB per formula unit. Its final energy is -45.5 eV per formula unit. As for the formation energy: -0.69 eV per atom.

---

(2)
## CuPdRh (PBE)

Data for a geometry-optimized CuPdRh structure.

```
CuPdRh
1.0
-0.420 0.288 -2.699
-1.671 -2.179 0.027
-3.299 4.290 2.369
Rh Cu Pd
1 1 1
Direct
0.661 0.661 0.323
0.001 0.001 0.002
0.337 0.337 0.675
```

Summary:
The total moment is 1.17 μB per formula unit. Its final energy is -16.5 eV per formula unit. As for the formation energy: 0.05 eV per atom.

---

(3)
## ZrV2Os2 (PBE)

Data for a geometry-optimized ZrV2Os2 structure.

```
ZrV2Os2
1.0
7.430 0.000 0.000
0.000 7.430 0.000
0.000 0.000 2.873
V Zr Os
4 2 4
Direct
0.350 0.150 0.500
0.850 0.350 0.500
0.150 0.650 0.500
0.650 0.850 0.500
0.000 0.000 0.000
0.500 0.500 0.000
0.857 0.643 0.000
0.143 0.357 0.000
0.357 0.857 0.000
0.643 0.143 0.000
```

Summary:
The total moment is 0.00 μB per formula unit. Its final energy is -49.6 eV per formula unit. As for the formation energy: -0.07 eV per atom.

---

(4)
## PmTl2P (PBE)

Data for a geometry-optimized PmTl2P structure.

```
PmTl2P
1.0
-5.272 -1.267 -0.683
0.941 -4.187 0.501
-0.639 0.366 4.257
Tl Pm P
2 1 1
Direct
0.000 0.000 0.500
0.000 0.500 0.000
0.500 0.500 0.500
0.500 0.000 0.000
```

Summary:
The total moment is 0.00 μB per formula unit. Its final energy is -16.3 eV per formula unit. As for the formation energy: -0.36 eV per atom.

---

(5)
## YBeTeW2 (PBE)

Data for a geometry-optimized YBeTeW2 structure.

```
YBeTeW2
1.0
-1.244 -3.578 2.131
4.849 -0.830 1.437
-0.658 2.365 3.586
W Be Te Y
2 1 1 1
Direct
0.500 0.000 0.000
0.000 0.000 0.500
0.000 0.000 0.000
0.500 0.500 0.500
0.000 0.500 0.000
```

Summary:
The total moment is 0.00 μB per formula unit. The value obtained for the formation energy without anion corrections is 0.693 eV/atom. Its final energy is -35.8 eV per formula unit.

---

(6)
## Li3Sn3Ir2 (PBE)

Data for a geometry-optimized Li3Sn3Ir2 structure.

```
Li3Sn3Ir2
1.0
4.352 0.000 1.311
1.978 3.876 1.311
-0.021 -0.013 7.944
Li Ir Sn
3 2 3
Direct
0.624 0.624 0.129
0.250 0.250 0.249
0.747 0.747 0.759
0.496 0.496 0.512
0.005 0.005 0.984
0.126 0.126 0.621
0.883 0.883 0.351
0.368 0.368 0.895
```

Summary:
The total moment is 0.00 μB per formula unit. Its final energy is -38.6 eV per formula unit. As for the formation energy: -0.39 eV per atom.

---

(7)
## Dy3Ho6Cd (PBE)

Data for a geometry-optimized Dy3Ho6Cd structure.

```
Dy3Ho6Cd
1.0
-4.032 -0.846 2.795
-2.385 -8.733 -6.084
6.110 -6.166 6.949
Dy Ho Cd
6 12 2
Direct
0.750 0.448 0.599
0.750 0.654 0.207
0.250 0.753 0.008
0.750 0.247 0.992
0.250 0.552 0.401
0.250 0.346 0.793
0.750 0.953 0.103
0.750 0.847 0.809
0.750 0.346 0.298
0.250 0.236 0.494
0.250 0.862 0.315
0.250 0.654 0.702
0.250 0.047 0.897
0.250 0.449 0.102
0.750 0.764 0.506
0.750 0.138 0.685
0.750 0.551 0.898
0.250 0.153 0.191
0.250 0.947 0.608
0.750 0.053 0.392
```

Summary:
The total moment is 0.00 μB per formula unit. Its final energy is -42.4 eV per formula unit. As for the formation energy: -0.02 eV per atom.